The following is a DFT calculation (GGA-PBE) of SbMoC2N after structural relaxation.

Results
E_form (uncorrected) in eV per atom: 1.4997
Excess energy over the best structure of this formula in the dataset in eV/atom: 0.0000

abc: 4.1712 3.9416 4.1712
angles: 90.00 90.00 90.00
Element x y z (fractional)
N: 0.0000 0.5000 0.0000
Sb: 0.5000 0.5000 0.5000
Mo: 0.0000 0.0000 0.0000
C: 0.0000 0.0000 0.5000
C: 0.5000 0.0000 0.0000